The following is a DFT calculation (PBE-GGA) of a relaxed structure of Ca4PSBr2.

Its total magnetization is 0.0 μB per formula unit. For the uncorrected energy, the calculation gives -4.26 eV per atom. For the formation energy without anion corrections, the calculation gives -1653 meV/atom.

The structure belongs to space group P2/m (No. 10); the cell edges are 7.1968, 4.1690 and 7.3726 Å and the angles 90.00°, 109.03° and 90.00°. The inequivalent atoms are Ca at (0.2314, 0.0000, 0.2082), Ca at (0.2592, 0.5000, 0.7912), P at (0.0000, 0.5000, 0.0000), S at (0.5000, 0.0000, 0.0000), Br at (0.0000, 0.0000, 0.5000) and Br at (0.5000, 0.5000, 0.5000).